(1)
Here is an optimized crystal structure of K2BH6 from Alexandria via LeMat-Bulk. Energies are from PBE.

Electronic total energy = -3.109 eV/atom
Calculated density = 1.5 g/cm3
Crystal system = cubic

abc: 5.2802 5.2802 5.2802
angles: 60.00 60.00 60.00
With the nearest neighbours (Å) after each atom.
Fractional coordinates of all 9 atoms:
K1 0.2500 0.2500 0.2500  12 H 2.68
K2 0.7500 0.7500 0.7500  12 H 2.68
B1 0.0000 0.0000 0.0000  6 H 1.40
H1 0.1870 0.1870 0.8130  1 B 1.40
H2 0.1870 0.8130 0.1870  1 B 1.40
H3 0.1870 0.8130 0.8130  1 B 1.40
H4 0.8130 0.1870 0.1870  1 B 1.40
H5 0.8130 0.1870 0.8130  1 B 1.40
H6 0.8130 0.8130 0.1870  1 B 1.40

=====

(2)
Here is an optimized crystal structure of K2BH6 from Alexandria via LeMat-Bulk. Energies are from PBE.

Electronic total energy = -3.092 eV/atom
Calculated density = 1.6 g/cm3
Crystal system = monoclinic

abc: 5.1439 5.1439 4.2779
angles: 90.13 90.13 60.02
With the nearest neighbours (Å) after each atom.
Fractional coordinates of all 9 atoms:
K1 0.1670 0.1670 0.2638  9 H 2.61-2.68
K2 0.8330 0.8330 0.7362  9 H 2.61-2.68
B1 0.5000 0.5000 0.0000  6 H 1.39-1.40
H1 0.2470 0.6271 0.1913  1 B 1.39
H2 0.3723 0.3723 0.8090  1 B 1.40
H3 0.3729 0.7530 0.8087  1 B 1.39
H4 0.6271 0.2470 0.1913  1 B 1.39
H5 0.6277 0.6277 0.1910  1 B 1.40
H6 0.7530 0.3729 0.8087  1 B 1.39

=====

(3)
Here is an optimized crystal structure of K2BH from Alexandria via LeMat-Bulk. Energies are from PBE.

Electronic total energy = -2.049 eV/atom
Calculated density = 1.2 g/cm3
Crystal system = tetragonal

abc: 6.8795 6.8795 6.8795
angles: 113.77 113.77 101.18
With the nearest neighbours (Å) after each atom.
Fractional coordinates of all 8 atoms:
K1 0.0676 0.6250 0.9426  2 H 2.61
K2 0.3750 0.3176 0.4426  2 H 2.61
K3 0.6824 0.1250 0.0574  2 H 2.61
K4 0.8750 0.9324 0.5574  2 H 2.61
B1 0.2500 0.7500 0.5000  4 K 3.17
B2 0.5000 0.5000 0.0000  4 K 3.17
H1 0.0000 0.0000 0.0000  4 K 2.61
H2 0.7500 0.2500 0.5000  4 K 2.61

=====

(4)
Here is an optimized crystal structure of KBH from Alexandria via LeMat-Bulk. Energies are from PBE.

Electronic total energy = -3.713 eV/atom
Calculated density = 1.9 g/cm3
Crystal system = monoclinic

abc: 5.3407 5.3407 5.9611
angles: 115.35 115.35 35.24
With the nearest neighbours (Å) after each atom.
Fractional coordinates of all 6 atoms:
K1 0.0699 0.0699 0.3024  5 H 2.68-2.96
K2 0.9301 0.9301 0.6976  5 H 2.68-2.96
B1 0.2723 0.2723 0.0532  1 H 1.30
B2 0.7277 0.7277 0.9468  1 H 1.30
H1 0.3581 0.3581 0.2943  1 B 1.30
H2 0.6419 0.6419 0.7057  1 B 1.30